Entry 1:
This record from Alexandria describes InN3Cl after structural relaxation. The functional is PBE.

- Formation energy (no corrections): 2.203 eV/atom
- Total DFT energy (no corrections): -3.709 eV/atom
- Fermi-level density of states: 1.178 states/eV/atom
- Total moment: 6.5 μB/cell

Lattice parameters (Å, degrees): 4.4003 4.4003 4.4003 90.00 90.00 90.00
Last column: nearest neighbours and their distance in Å.
Element x y z (fractional)
In 0.0000 0.0000 0.0000  6 N 2.20
N 0.0000 0.0000 0.5000  2 In 2.20
N 0.0000 0.5000 0.0000  2 In 2.20
N 0.5000 0.0000 0.0000  2 In 2.20
Cl 0.5000 0.5000 0.5000  12 N 3.11

Entry 2:
This record from Alexandria describes ErAlGaCu6 after structural relaxation. The functional is PBE.

- Energy relative to the elements: 66 meV/atom
- Total DFT energy (no corrections): -3.924 eV/atom
- Fermi-level density of states: 0.370 states/eV/atom
- Total moment: 0.0 μB/cell

Lattice parameters (Å, degrees): 7.3502 7.3502 7.3502 125.09 107.23 97.41
Last column: nearest neighbours and their distance in Å.
Element x y z (fractional)
Er 0.4643 0.2143 0.2500  10 Cu 2.83-3.16, 2 Ga 3.01
Er 0.5357 0.7857 0.7500  10 Cu 2.83-3.16, 2 Ga 3.01
Al 0.0000 0.0000 0.5000  6 Cu 2.38-2.56
Al 0.0000 0.5000 0.0000  6 Cu 2.38-2.56
Ga 0.0000 0.0000 0.0000  6 Cu 2.31-2.49
Ga 0.5000 0.0000 0.5000  6 Cu 2.31-2.49
Cu 0.1317 0.4459 0.3223  4 Cu 2.46-2.74, 1 Ga 2.49, 1 Al 2.56
Cu 0.1317 0.8094 0.6858  4 Cu 2.46-2.74, 1 Ga 2.49, 1 Al 2.56
Cu 0.1726 0.9226 0.2500  2 Ga 2.31, 2 Al 2.38
Cu 0.2308 0.4808 0.7500  8 Cu 2.74-2.85, 2 Al 2.81, 1 Er 2.96
Cu 0.3764 0.1906 0.8223  4 Cu 2.46-2.74, 1 Ga 2.49, 1 Al 2.56
Cu 0.3764 0.5541 0.1858  4 Cu 2.46-2.74, 1 Ga 2.49, 1 Al 2.56
Cu 0.6236 0.4459 0.8142  4 Cu 2.46-2.74, 1 Ga 2.49, 1 Al 2.56
Cu 0.6236 0.8094 0.1777  4 Cu 2.46-2.74, 1 Ga 2.49, 1 Al 2.56
Cu 0.7692 0.5192 0.2500  8 Cu 2.74-2.85, 2 Al 2.81, 1 Er 2.96
Cu 0.8274 0.0774 0.7500  2 Ga 2.31, 2 Al 2.38
Cu 0.8683 0.1906 0.3142  4 Cu 2.46-2.74, 1 Ga 2.49, 1 Al 2.56
Cu 0.8683 0.5541 0.6777  4 Cu 2.46-2.74, 1 Ga 2.49, 1 Al 2.56

Entry 3:
This record from Alexandria describes Tb5SmY after structural relaxation. The functional is PBE.

- Energy above the lowest structure with this stoichiometry: 0.0 kJ/mol of atoms
- Energy relative to the elements: 179 meV/atom
- Total DFT energy (no corrections): -4.726 eV/atom
- Fermi-level density of states: 1.150 states/eV/atom
- Total moment: 0.0 μB/cell

Lattice parameters (Å, degrees): 6.7843 6.7843 12.2514 107.63 107.63 59.81
Last column: nearest neighbours and their distance in Å.
Element x y z (fractional)
Tb 0.0853 0.3524 0.7467  2 Tb 2.99-3.30, 1 Y 3.27
Tb 0.0873 0.9127 0.7500  1 Sm 2.98, 2 Tb 2.99
Tb 0.1557 0.6857 0.9995  1 Sm 3.29, 4 Tb 3.30-3.68
Tb 0.3143 0.8443 0.5005  1 Sm 3.29, 4 Tb 3.30-3.68
Tb 0.3524 0.0853 0.2467  2 Tb 2.99-3.30, 1 Y 3.27
Tb 0.6476 0.9147 0.7533  2 Tb 2.99-3.30, 1 Y 3.27
Tb 0.6857 0.1557 0.4995  1 Sm 3.29, 4 Tb 3.30-3.68
Tb 0.8443 0.3143 0.0005  1 Sm 3.29, 4 Tb 3.30-3.68
Tb 0.9127 0.0873 0.2500  1 Sm 2.98, 2 Tb 2.99
Tb 0.9147 0.6476 0.2533  2 Tb 2.99-3.30, 1 Y 3.27
Sm 0.4717 0.5283 0.2500  3 Tb 2.98-3.29
Sm 0.5283 0.4717 0.7500  3 Tb 2.98-3.29
Y 0.0000 0.5000 0.5000  4 Tb 3.27-3.60
Y 0.5000 0.0000 0.0000  4 Tb 3.27-3.60

Entry 4:
This record from Alexandria describes CuWICl2 after structural relaxation. The functional is PBE.

- Formation energy (no corrections): 0.766 eV/atom
- Total DFT energy (no corrections): -3.692 eV/atom
- Fermi-level density of states: 0.388 states/eV/atom
- Total moment: 4.7 μB/cell

Lattice parameters (Å, degrees): 4.4594 4.4594 6.6171 90.00 90.00 90.00
Last column: nearest neighbours and their distance in Å.
Element x y z (fractional)
Cu 0.0000 0.0000 0.0000  4 Cl 2.23
W 0.5000 0.5000 0.5000  4 I 3.15
I 0.0000 0.0000 0.5000  4 W 3.15, 2 Cu 3.31
Cl 0.0000 0.5000 0.0000  2 Cu 2.23
Cl 0.5000 0.0000 0.0000  2 Cu 2.23